A plane-wave DFT calculation with PBE was carried out for a relaxed structure of Ce2TiReN6.

Cell: 5.487 5.621 9.542 Å, 90.00 125.04 90.00°
Space group P2_1/c (No. 14)
Inequivalent atoms, fractional coordinates:
Ce  0.245  0.054  0.251 [4 per cell]
Ti  0.500  0.000  0.000 [2 per cell]
Re  0.000  0.000  0.500 [2 per cell]
N  0.149  0.202  0.955 [4 per cell]
N  0.257  0.695  0.957 [4 per cell]
N  0.331  0.021  0.748 [4 per cell]

* V: 240.9 Å³ per cell
* E_form (uncorrected): -1.040 eV per atom

A plane-wave DFT calculation with PBE was carried out for a relaxed structure of Ce2VReN5.

Cell: 3.428 13.193 9.665 Å, 90.00 90.00 90.00°
Space group Cmc2_1 (No. 36)
Inequivalent atoms, fractional coordinates:
Ce  0.000  0.122  0.000 [4 per cell]
Ce  0.000  0.138  0.618 [4 per cell]
V  0.000  0.450  0.778 [4 per cell]
Re  0.000  0.201  0.320 [4 per cell]
N  0.000  0.046  0.367 [4 per cell]
N  0.000  0.295  0.964 [4 per cell]
N  0.000  0.310  0.690 [4 per cell]
N  0.000  0.357  0.321 [4 per cell]
N  0.000  0.499  0.607 [4 per cell]

* V: 437.2 Å³ per cell
* E_form (uncorrected): -1.023 eV per atom

A plane-wave DFT calculation with PBE was carried out for a relaxed structure of Ce2YReN5.

Cell: 6.602 6.602 11.590 Å, 90.00 90.00 90.00°
Space group I4/mcm (No. 140)
Inequivalent atoms, fractional coordinates:
Ce  0.173  0.327  0.000 [8 per cell]
Y  0.000  0.000  0.250 [4 per cell]
Re  0.000  0.500  0.250 [4 per cell]
N  0.000  0.000  0.000 [4 per cell]
N  0.154  0.346  0.355 [16 per cell]

* V: 505.1 Å³ per cell
* E_form (uncorrected): -1.018 eV per atom

A plane-wave DFT calculation with PBE was carried out for a relaxed structure of CeY2ReN4.

Cell: 3.424 11.709 11.657 Å, 90.00 90.00 90.00°
Space group Cmcm (No. 63)
Inequivalent atoms, fractional coordinates:
Ce  0.000  0.113  0.250 [4 per cell]
Y  0.000  0.369  0.041 [8 per cell]
Re  0.000  0.145  0.750 [4 per cell]
N  0.000  0.000  0.000 [4 per cell]
N  0.000  0.266  0.630 [8 per cell]
N  0.000  0.449  0.250 [4 per cell]

* V: 467.3 Å³ per cell
* E_form (uncorrected): -1.039 eV per atom

A plane-wave DFT calculation with PBE was carried out for a relaxed structure of Ce2ZrReN6.

Cell: 5.592 5.783 9.738 Å, 90.00 124.77 90.00°
Space group P2_1/c (No. 14)
Inequivalent atoms, fractional coordinates:
Ce  0.242  0.057  0.252 [4 per cell]
Zr  0.500  0.000  0.000 [2 per cell]
Re  0.000  0.000  0.500 [2 per cell]
N  0.127  0.208  0.944 [4 per cell]
N  0.243  0.685  0.948 [4 per cell]
N  0.342  0.033  0.739 [4 per cell]

* V: 258.7 Å³ per cell
* E_form (uncorrected): -1.007 eV per atom

A plane-wave DFT calculation with PBE was carried out for a relaxed structure of Ce3Rh2N.

Cell: 6.738 11.329 6.887 Å, 90.00 109.87 90.00°
Space group C2/m (No. 12)
Inequivalent atoms, fractional coordinates:
Ce  0.193  0.000  0.199 [4 per cell]
Ce  0.244  0.317  0.235 [8 per cell]
Rh  0.000  0.000  0.500 [2 per cell]
Rh  0.000  0.361  0.500 [4 per cell]
Rh  0.000  0.500  0.000 [2 per cell]
N  0.000  0.178  0.000 [4 per cell]

* V: 494.4 Å³ per cell
* E_form (uncorrected): -0.818 eV per atom